CeUC, relaxed, DFT GGA-PBE; energy relative to the elements = -0.0128 eV/atom; DFT total energy = -26.48 eV per formula unit; E above lowest polymorph = 0.00 eV/f.u.
1.0
-0.994 -4.669 -0.290
3.245 -0.613 -1.242
-0.605 -0.087 3.475
C U Ce
1 1 1
direct
0.027 0.000 0.000 C
0.297 0.667 0.333 U
0.676 0.333 0.667 Ce